This record from Alexandria via LeMat-Bulk describes crystalline SrNiO at its relaxed geometry. The functional is PBE+U.

Results
For the total DFT energy (no corrections), the calculation gives -4.188 eV/atom. Its density of states at the Fermi level is 0.000 states/eV/cell. Its total magnetization is 0.33 μB per atom. As for the mass density: 4.17 Mg/m³.

abc: 6.2176 6.2176 7.9345
angles: 128.86 128.86 33.90
Closest atoms and distances in Å follow each position.
Fractional positions:
Sr 0.0000 0.0000 0.0000  3 O 2.32-2.44
Sr 0.6153 0.6153 0.6948  4 O 2.40-2.65
Ni 0.3238 0.3238 0.1449  1 O 1.92
Ni 0.8275 0.8275 0.3684  1 O 1.94
O 0.3311 0.3311 0.9107  1 Ni 1.92
O 0.9822 0.9822 0.6912  1 Ni 1.94